No. 1
## Zn3P6H30N6O26 (PBE)

Data for a geometry-optimized Zn3P6H30N6O26 structure.

Lattice parameters (Å, degrees): 7.296 9.203 9.462 104.62 92.09 100.50
Space group P-1 (No. 2)
Unique sites:
Zn 0.000 0.000 0.000 [1 per cell]
Zn 0.399 0.679 0.377 [2 per cell]
P 0.024 0.409 0.784 [2 per cell]
P 0.171 0.241 0.527 [2 per cell]
P 0.264 0.195 0.808 [2 per cell]
H 0.037 0.285 0.154 [2 per cell]
H 0.072 0.174 0.251 [2 per cell]
H 0.082 0.019 0.612 [2 per cell]
H 0.137 0.362 0.995 [2 per cell]
H 0.161 0.740 0.573 [2 per cell]
H 0.194 0.839 0.167 [2 per cell]
H 0.201 0.508 0.616 [2 per cell]
H 0.272 0.634 0.911 [2 per cell]
H 0.320 0.995 0.151 [2 per cell]
H 0.363 0.770 0.658 [2 per cell]
H 0.380 0.953 0.841 [2 per cell]
H 0.385 0.382 0.353 [2 per cell]
H 0.444 0.679 0.033 [2 per cell]
H 0.460 0.811 0.867 [2 per cell]
H 0.466 0.422 0.206 [2 per cell]
N 0.132 0.405 0.632 [2 per cell]
N 0.151 0.332 0.884 [2 per cell]
N 0.162 0.130 0.639 [2 per cell]
O 0.011 0.165 0.408 [2 per cell]
O 0.039 0.575 0.868 [2 per cell]
O 0.095 0.195 0.154 [2 per cell]
O 0.169 0.693 0.256 [2 per cell]
O 0.203 0.918 0.113 [2 per cell]
O 0.237 0.069 0.885 [2 per cell]
O 0.275 0.694 0.573 [2 per cell]
O 0.363 0.275 0.472 [2 per cell]
O 0.395 0.457 0.292 [2 per cell]
O 0.411 0.658 0.925 [2 per cell]
O 0.426 0.962 0.464 [2 per cell]
O 0.467 0.264 0.795 [2 per cell]
O 0.468 0.884 0.802 [2 per cell]

Final energy: -5.558 eV/atom


No. 2
## TmScCoSi2 (PBE)

Data for a geometry-optimized TmScCoSi2 structure.

Lattice parameters (Å, degrees): 10.038 4.056 9.700 90.00 119.61 90.00
Space group C2/m (No. 12)
Unique sites:
Tm 0.004 0.000 0.176 [4 per cell]
Sc 0.182 0.000 0.605 [4 per cell]
Co 0.224 0.500 0.873 [4 per cell]
Si 0.011 0.500 0.380 [4 per cell]
Si 0.150 0.500 0.071 [4 per cell]

Final energy: -6.556 eV/atom


No. 3
## SrGdO3 (PBE)

Data for a geometry-optimized SrGdO3 structure.

Lattice parameters (Å, degrees): 6.0375 6.0375 15.8186 90.00 90.00 120.00
Space group R-3 (No. 148, hexagonal axes)
Unique sites:
Sr 0.0000 0.0000 0.1350 [6 per cell]
Gd 0.0000 0.0000 0.3536 [6 per cell]
O 0.0280 0.7302 0.2549 [18 per cell]

Final energy: -6.933 eV/atom


No. 4
## UCo2 (PBE)

Data for a geometry-optimized UCo2 structure.

Lattice parameters (Å, degrees): 6.899 6.899 6.899 90.00 90.00 90.00
Space group Fd-3m (No. 227, origin choice 2)
Unique sites:
U 0.125 0.125 0.125 [8 per cell]
Co 0.000 0.000 0.500 [16 per cell]

Final energy: -8.729 eV/atom
DFT formation energy: -0.23 eV/atom


No. 5
## Tl7Ag36Te22 (PBE)

Data for a geometry-optimized Tl7Ag36Te22 structure.

Lattice parameters (Å, degrees): 18.744 18.744 18.744 90.00 90.00 90.00
Space group Fm-3m (No. 225)
Unique sites:
Tl 0.000 0.000 0.000 [4 per cell]
Tl 0.000 0.000 0.235 [24 per cell]
Ag 0.000 0.194 0.194 [48 per cell]
Ag 0.132 0.132 0.258 [96 per cell]
Te 0.000 0.156 0.344 [48 per cell]
Te 0.108 0.108 0.108 [32 per cell]
Te 0.250 0.250 0.250 [8 per cell]

Final energy: -3.008 eV/atom


No. 6
## Tb3DyPd4 (PBE)

Data for a geometry-optimized Tb3DyPd4 structure.

Lattice parameters (Å, degrees): 5.696 4.481 6.933 90.00 90.10 90.00
Space group Pm (No. 6)
Unique sites:
Tb 0.000 0.000 0.000 [1 per cell]
Tb 0.218 0.000 0.500 [1 per cell]
Tb 0.717 0.500 0.638 [1 per cell]
Dy 0.499 0.500 0.138 [1 per cell]
Pd 0.012 0.500 0.276 [1 per cell]
Pd 0.205 0.500 0.777 [1 per cell]
Pd 0.513 0.000 0.864 [1 per cell]
Pd 0.704 0.000 0.360 [1 per cell]

Final energy: -5.813 eV/atom
DFT formation energy: -0.91 eV/atom


No. 7
## Ho5Mg (PBE)

Data for a geometry-optimized Ho5Mg structure.

Lattice parameters (Å, degrees): 6.4160 6.4160 5.6466 90.00 90.00 120.00
Space group P6/mmm (No. 191)
Unique sites:
Ho 0.0000 0.5000 0.0000 [3 per cell]
Ho 0.3333 0.6667 0.5000 [2 per cell]
Mg 0.0000 0.0000 0.5000 [1 per cell]

ΔE to the lowest computed polymorph: 403 meV/atom
Final energy: -3.636 eV/atom


No. 8
## Pa3BN6 (PBE)

Data for a geometry-optimized Pa3BN6 structure.

Lattice parameters (Å, degrees): 8.976 11.306 5.096 90.00 90.00 90.00
Space group Cmc2_1 (No. 36)
Unique sites:
Pa 0.000 0.110 0.000 [4 per cell]
Pa 0.191 0.386 0.034 [8 per cell]
B 0.000 0.303 0.603 [4 per cell]
N 0.000 0.291 0.277 [4 per cell]
N 0.000 0.433 0.729 [4 per cell]
N 0.142 0.236 0.735 [8 per cell]
N 0.159 0.015 0.270 [8 per cell]

Final energy: -9.919 eV/atom


No. 9
## HoCuAgTe3 (PBE)

Data for a geometry-optimized HoCuAgTe3 structure.

Lattice parameters (Å, degrees): 4.159 15.316 10.905 90.00 90.00 90.00
Space group Cmcm (No. 63)
Unique sites:
Ho 0.000 0.000 0.000 [4 per cell]
Cu 0.000 0.486 0.250 [4 per cell]
Ag 0.000 0.133 0.750 [4 per cell]
Te 0.000 0.093 0.250 [4 per cell]
Te 0.000 0.359 0.067 [8 per cell]

Final energy: -4.005 eV/atom


No. 10
## ReAsNO (PBE)

Data for a geometry-optimized ReAsNO structure.

Lattice parameters (Å, degrees): 2.808 5.753 6.987 90.00 90.00 90.00
Space group Pmc2_1 (No. 26)
Unique sites:
Re 0.000 0.025 0.000 [2 per cell]
As 0.500 0.341 0.636 [2 per cell]
N 0.500 0.230 0.893 [2 per cell]
O 0.000 0.135 0.256 [2 per cell]

ΔE to the lowest computed polymorph: 0 meV/atom
Final energy: -7.833 eV/atom


No. 11
## BiAsPtO (PBE)

Data for a geometry-optimized BiAsPtO structure.

Lattice parameters (Å, degrees): 4.136 4.136 8.647 90.00 90.00 90.00
Space group P4/nmm (No. 129, origin choice 2)
Unique sites:
Bi 0.250 0.250 0.139 [2 per cell]
As 0.250 0.250 0.668 [2 per cell]
Pt 0.250 0.750 0.500 [2 per cell]
O 0.250 0.750 0.000 [2 per cell]

ΔE to the lowest computed polymorph: 0 meV/atom
Final energy: -5.435 eV/atom


No. 12
## Y2AlCo (PBE)

Data for a geometry-optimized Y2AlCo structure.

Lattice parameters (Å, degrees): 6.815 6.815 6.815 90.00 90.00 90.00
Space group F-43m (No. 216)
Unique sites:
Y 0.000 0.000 0.000 [4 per cell]
Y 0.250 0.250 0.250 [4 per cell]
Al 0.000 0.000 0.500 [4 per cell]
Co 0.250 0.250 0.750 [4 per cell]

Final energy: -5.967 eV/atom


No. 13
## DyY2In3Ir2 (PBE)

Data for a geometry-optimized DyY2In3Ir2 structure.

Lattice parameters (Å, degrees): 3.689 13.163 7.613 90.00 90.00 90.00
Space group Amm2 (No. 38)
Unique sites:
Dy 0.000 0.000 0.000 [2 per cell]
Y 0.000 0.210 0.368 [4 per cell]
In 0.500 0.000 0.343 [2 per cell]
In 0.500 0.118 0.696 [4 per cell]
Ir 0.500 0.165 0.078 [4 per cell]

Final energy: -6.076 eV/atom


No. 14
## PuCoB (PBE)

Data for a geometry-optimized PuCoB structure.

Lattice parameters (Å, degrees): 5.701 5.701 5.701 90.00 90.00 90.00
Space group F-43m (No. 216)
Unique sites:
Pu 0.000 0.000 0.000 [4 per cell]
Co 0.250 0.250 0.750 [4 per cell]
B 0.250 0.250 0.250 [4 per cell]

ΔE to the lowest computed polymorph: 759 meV/atom
Final energy: -8.311 eV/atom


No. 15
## USiTc (PBE)

Data for a geometry-optimized USiTc structure.

Lattice parameters (Å, degrees): 6.315 6.315 6.315 90.00 90.00 90.00
Space group F-43m (No. 216)
Unique sites:
U 0.000 0.000 0.000 [4 per cell]
Si 0.250 0.250 0.750 [4 per cell]
Tc 0.250 0.250 0.250 [4 per cell]

ΔE to the lowest computed polymorph: 468 meV/atom
Final energy: -8.279 eV/atom


No. 16
## BaAgBS4 (PBE)

Data for a geometry-optimized BaAgBS4 structure.

Lattice parameters (Å, degrees): 14.615 5.742 8.285 90.00 96.48 90.00
Space group C2/m (No. 12)
Unique sites:
Ba 0.185 0.000 0.184 [4 per cell]
Ag 0.062 0.500 0.784 [4 per cell]
B 0.102 0.000 0.653 [4 per cell]
S 0.043 0.000 0.830 [4 per cell]
S 0.137 0.255 0.552 [8 per cell]
S 0.150 0.500 0.054 [4 per cell]

Final energy: -4.544 eV/atom


No. 17
## ErSc4Al2 (PBE)

Data for a geometry-optimized ErSc4Al2 structure.

Lattice parameters (Å, degrees): 5.164 5.164 14.072 90.00 90.00 90.00
Space group I4/mmm (No. 139)
Unique sites:
Er 0.000 0.000 0.000 [2 per cell]
Sc 0.000 0.000 0.198 [4 per cell]
Sc 0.000 0.500 0.000 [4 per cell]
Al 0.000 0.000 0.398 [4 per cell]

Final energy: -4.663 eV/atom


No. 18
## AcDyY (PBE)

Data for a geometry-optimized AcDyY structure.

Lattice parameters (Å, degrees): 8.010 8.010 8.010 90.00 90.00 90.00
Space group F-43m (No. 216)
Unique sites:
Ac 0.000 0.000 0.000 [4 per cell]
Dy 0.250 0.250 0.750 [4 per cell]
Y 0.250 0.250 0.250 [4 per cell]

ΔE to the lowest computed polymorph: 153 meV/atom
Final energy: -4.221 eV/atom
DFT formation energy: 0.84 eV/atom


No. 19
## Lu2TaNbGe2 (PBE)

Data for a geometry-optimized Lu2TaNbGe2 structure.

Lattice parameters (Å, degrees): 4.009 4.009 7.646 90.00 90.00 90.00
Space group P-4m2 (No. 115)
Unique sites:
Lu 0.000 0.500 0.150 [2 per cell]
Ta 0.500 0.500 0.500 [1 per cell]
Nb 0.000 0.000 0.500 [1 per cell]
Ge 0.000 0.500 0.755 [2 per cell]

Final energy: -7.314 eV/atom